Record 1
Computed, not measured: an optimized crystal structure of GaHg6Pb8 at the PBE level of DFT.

Cell and atoms, written as extended XYZ:
```
15
Lattice="-5.1343 -6.2217 1.4917 3.4537 -7.4274 -0.4485 1.1254 -3.6590 7.2554" Properties=species:S:1:pos:R:3 pbc="T T T"
Pb -0.5061 -10.5381 1.4124
Pb -0.0492 -6.7701 6.8863
Pb 2.4723 -9.0445 2.3114
Pb -3.0276 -8.2637 5.9873
Pb -0.2294 -7.1516 3.4289
Pb -0.3258 -10.1566 4.8697
Pb -3.2107 -8.7364 2.5736
Pb 2.6555 -8.5718 5.7250
Hg -0.0215 -13.0744 3.7240
Hg 2.0013 -5.6509 1.7886
Hg -0.5338 -4.2337 4.5746
Hg -1.9714 -5.8213 1.1672
Hg -2.5566 -11.6573 6.5101
Hg 1.4161 -11.4868 7.1314
Ga 0.0000 0.0000 0.0000
```

Computed properties:
As for the density: 11.12 Mg/m³. The value obtained for the energy of formation is 47 meV/atom. As for the crystal system: trigonal. Its density of states at the Fermi level is 5.945 states/eV per cell.

---

Record 2
Computed, not measured: an optimized crystal structure of Ga3Hg2Pb2 at the PBE level of DFT.

Cell and atoms, written as extended XYZ:
```
7
Lattice="-1.3592 1.5069 4.0146 -5.6450 -2.5844 1.5790 0.2727 -5.5347 4.6899" Properties=species:S:1:pos:R:3 pbc="T T T"
Hg -1.4462 -0.3813 4.6938
Hg -5.2853 -6.2309 5.5897
Pb -2.9953 -2.2315 2.3437
Pb -3.7362 -4.3807 7.9399
Ga -2.1202 -3.0087 5.4518
Ga -4.6113 -3.6035 4.8317
Ga -0.6796 0.7534 2.0073
```

Computed properties:
As for the density: 9.81 Mg/m³. The value obtained for the energy of formation is 60 meV/atom. As for the crystal system: monoclinic. Its density of states at the Fermi level is 2.073 states/eV per cell.

---

Record 3
Computed, not measured: an optimized crystal structure of GaHg2Pb3 at the PBE level of DFT.

Cell and atoms, written as extended XYZ:
```
12
Lattice="5.8492 -0.0431 -1.3296 2.8274 5.0728 -0.9343 -2.6077 -0.5889 11.9773" Properties=species:S:1:pos:R:3 pbc="T T T"
Pb 3.5501 4.3220 7.5412
Pb 3.6931 0.9587 7.8883
Pb 5.4102 1.7989 1.4837
Pb 2.5188 0.1188 2.1722
Pb 2.3759 3.4821 1.8251
Pb 0.6587 2.6419 8.2297
Hg 0.0000 0.0000 0.0000
Hg 1.6720 1.3615 5.2858
Hg 4.3970 3.0793 4.4276
Hg -1.3038 -0.2944 5.9887
Ga 2.9377 2.8456 10.5126
Ga 3.1312 1.5952 -0.7992
```

Computed properties:
As for the density: 10.73 Mg/m³. The value obtained for the energy of formation is 48 meV/atom. As for the crystal system: triclinic. Its density of states at the Fermi level is 2.865 states/eV per cell.

---

Q: What is the formula in the first record?
A: GaHg6Pb8

---

Q: Which formula does entry 2 have?
A: Ga3Hg2Pb2

---

Q: Among the records above, which one has the highest density?
A: GaHg6Pb8

---

Q: The highest energy of formation belongs to which entry?
A: Ga3Hg2Pb2